Record 1
The following is a PBE calculation of a relaxed NaPOsO2 crystal, from Alexandria.

Geometry as CIF:
```
data_NaPOsO2
_symmetry_space_group_name_H-M 'P 4/m m m'
_symmetry_Int_Tables_number 123
_symmetry_space_group_name_Hall '-P 4 2'
_cell_length_a 3.827
_cell_length_b 3.827
_cell_length_c 5.074
_cell_angle_alpha 90.00
_cell_angle_beta 90.00
_cell_angle_gamma 90.00
loop_
_atom_site_label
_atom_site_type_symbol
_atom_site_fract_x
_atom_site_fract_y
_atom_site_fract_z
Na1 Na 0.000 0.000 0.000
P1 P 0.500 0.500 0.000
Os1 Os 0.500 0.500 0.500
O1 O 0.000 0.500 0.500
```

Formation energy without anion corrections: -0.4850 eV/atom
Offset from the most stable computed form: 0 meV per atom
Magnetic moment: 0.010 μB per atom

Record 2
The following is a PBE calculation of a relaxed Th2Si3Rh6 crystal, from Alexandria.

Geometry as CIF:
```
data_Th2Si3Rh6
_symmetry_space_group_name_H-M 'P -6 2 m'
_symmetry_Int_Tables_number 189
_symmetry_space_group_name_Hall 'P -6 -2'
_cell_length_a 7.0899
_cell_length_b 7.0899
_cell_length_c 4.4268
_cell_angle_alpha 90.00
_cell_angle_beta 90.00
_cell_angle_gamma 120.00
loop_
_atom_site_label
_atom_site_type_symbol
_atom_site_fract_x
_atom_site_fract_y
_atom_site_fract_z
Th1 Th 0.3333 0.6667 0.0000
Si1 Si 0.0000 0.6131 0.5000
Rh1 Rh 0.0000 0.2710 0.5000
Rh2 Rh 0.0000 0.7755 0.0000
```

Formation energy without anion corrections: -0.8621 eV/atom
Magnetic moment: 0.000 μB per atom

Record 3
The following is a PBE calculation of a relaxed Tm5ScZn6 crystal, from Alexandria.

Geometry as CIF:
```
data_Tm5ScZn6
_symmetry_space_group_name_H-M 'C m m m'
_symmetry_Int_Tables_number 65
_symmetry_space_group_name_Hall '-C 2 2'
_cell_length_a 4.928
_cell_length_b 14.837
_cell_length_c 6.997
_cell_angle_alpha 90.00
_cell_angle_beta 90.00
_cell_angle_gamma 90.00
loop_
_atom_site_label
_atom_site_type_symbol
_atom_site_fract_x
_atom_site_fract_y
_atom_site_fract_z
Tm1 Tm 0.000 0.000 0.000
Tm2 Tm 0.000 0.332 0.000
Tm3 Tm 0.000 0.335 0.500
Sc1 Sc 0.000 0.000 0.500
Zn1 Zn 0.000 0.163 0.256
Zn2 Zn 0.000 0.500 0.257
```

Magnetic moment: 0.000 μB per atom
Formation enthalpy at 0 K: -0.35 eV per atom

Record 4
The following is a PBE calculation of a relaxed In2Ru4Pb crystal, from Alexandria.

Geometry as CIF:
```
data_In2Ru4Pb
_symmetry_space_group_name_H-M 'I 4/m m m'
_symmetry_Int_Tables_number 139
_symmetry_space_group_name_Hall '-I 4 2'
_cell_length_a 4.894
_cell_length_b 4.894
_cell_length_c 13.677
_cell_angle_alpha 90.00
_cell_angle_beta 90.00
_cell_angle_gamma 90.00
loop_
_atom_site_label
_atom_site_type_symbol
_atom_site_fract_x
_atom_site_fract_y
_atom_site_fract_z
In1 In 0.000 0.000 0.114
Ru1 Ru 0.000 0.000 0.305
Ru2 Ru 0.000 0.500 0.000
Pb1 Pb 0.000 0.000 0.500
```

Magnetic moment: 0.553 μB per atom
Formation enthalpy at 0 K: 1.47 eV per atom